# CuGeS2Cl (PBE, optimized geometry)
# Size of the total moment in μB/cell: 0.00
# Energy relative to the elements, uncorrected in meV/atom: 233
# Energy relative to the lowest polymorph listed for this composition in eV/f.u.: 0.000
data_CuGeS2Cl
_chemical_formula_sum 'Cu1 Ge1 S2 Cl1'
_space_group_name_H-M_alt 'P 1'
_space_group_IT_number 1
_space_group_name_Hall 'P 1'
_cell_length_a 4.593
_cell_length_b 4.593
_cell_length_c 4.616
_cell_angle_alpha 90.00
_cell_angle_beta 90.00
_cell_angle_gamma 90.00
loop_
_atom_site_label
_atom_site_fract_x
_atom_site_fract_y
_atom_site_fract_z
_atom_site_occupancy
Cu1 0.000 0.000 0.000 1
Ge1 0.500 0.500 0.500 1
S1 0.000 0.500 0.000 1
S2 0.500 0.000 0.000 1
Cl1 0.000 0.000 0.500 1

=====

# CuGeSbCl2 (PBE, optimized geometry)
# Size of the total moment in μB/cell: 1.51
# Energy relative to the elements, uncorrected in meV/atom: 368
data_CuGeSbCl2
_chemical_formula_sum 'Cu1 Ge1 Sb1 Cl2'
_space_group_name_H-M_alt 'P 1'
_space_group_IT_number 1
_space_group_name_Hall 'P 1'
_cell_length_a 5.390
_cell_length_b 5.390
_cell_length_c 4.942
_cell_angle_alpha 90.00
_cell_angle_beta 90.00
_cell_angle_gamma 90.00
loop_
_atom_site_label
_atom_site_fract_x
_atom_site_fract_y
_atom_site_fract_z
_atom_site_occupancy
Cu1 0.000 0.000 0.000 1
Ge1 0.500 0.500 0.000 1
Sb1 0.000 0.000 0.500 1
Cl1 0.000 0.500 0.500 1
Cl2 0.500 0.000 0.500 1

=====

# Cu2SnGeCl (PBE, optimized geometry)
# Size of the total moment in μB/cell: 0.71
# Energy relative to the elements, uncorrected in meV/atom: 651
data_Cu2SnGeCl
_chemical_formula_sum 'Cu2 Sn1 Ge1 Cl1'
_space_group_name_H-M_alt 'P 1'
_space_group_IT_number 1
_space_group_name_Hall 'P 1'
_cell_length_a 4.902
_cell_length_b 4.902
_cell_length_c 5.396
_cell_angle_alpha 90.00
_cell_angle_beta 90.00
_cell_angle_gamma 90.00
loop_
_atom_site_label
_atom_site_fract_x
_atom_site_fract_y
_atom_site_fract_z
_atom_site_occupancy
Cu1 0.000 0.500 0.000 1
Cu2 0.500 0.000 0.000 1
Sn1 0.000 0.000 0.000 1
Ge1 0.500 0.500 0.500 1
Cl1 0.000 0.000 0.500 1

=====

# SrCuGeCl2 (PBE, optimized geometry)
# Size of the total moment in μB/cell: 1.00
# Energy relative to the elements, uncorrected in meV/atom: -227
data_SrCuGeCl2
_chemical_formula_sum 'Sr1 Cu1 Ge1 Cl2'
_space_group_name_H-M_alt 'P 1'
_space_group_IT_number 1
_space_group_name_Hall 'P 1'
_cell_length_a 5.422
_cell_length_b 5.422
_cell_length_c 6.232
_cell_angle_alpha 90.00
_cell_angle_beta 90.00
_cell_angle_gamma 90.00
loop_
_atom_site_label
_atom_site_fract_x
_atom_site_fract_y
_atom_site_fract_z
_atom_site_occupancy
Sr1 0.000 0.000 0.000 1
Cu1 0.000 0.000 0.500 1
Ge1 0.500 0.500 0.500 1
Cl1 0.000 0.500 0.000 1
Cl2 0.500 0.000 0.000 1

=====

# Cu5GeTe4Cl2 (PBE, optimized geometry)
# Size of the total moment in μB/cell: 0.00
# Energy relative to the elements, uncorrected in meV/atom: -134
data_Cu5GeTe4Cl2
_chemical_formula_sum 'Cu5 Ge1 Te4 Cl2'
_space_group_name_H-M_alt 'P 1'
_space_group_IT_number 1
_space_group_name_Hall 'P 1'
_cell_length_a 8.217
_cell_length_b 7.136
_cell_length_c 7.136
_cell_angle_alpha 128.98
_cell_angle_beta 90.00
_cell_angle_gamma 90.00
loop_
_atom_site_label
_atom_site_fract_x
_atom_site_fract_y
_atom_site_fract_z
_atom_site_occupancy
Cu1 0.000 0.000 0.000 1
Cu2 0.245 0.496 0.724 1
Cu3 0.245 0.724 0.496 1
Cu4 0.755 0.496 0.724 1
Cu5 0.755 0.724 0.496 1
Ge1 0.500 0.044 0.044 1
Te1 0.230 0.281 0.281 1
Te2 0.500 0.632 0.975 1
Te3 0.500 0.975 0.632 1
Te4 0.770 0.281 0.281 1
Cl1 0.000 0.626 0.926 1
Cl2 0.000 0.926 0.626 1

=====

# Ti2CuGeCl (PBE, optimized geometry)
# Size of the total moment in μB/cell: 3.70
# Energy relative to the elements, uncorrected in meV/atom: 456
data_Ti2CuGeCl
_chemical_formula_sum 'Ti2 Cu1 Ge1 Cl1'
_space_group_name_H-M_alt 'P 1'
_space_group_IT_number 1
_space_group_name_Hall 'P 1'
_cell_length_a 4.983
_cell_length_b 4.983
_cell_length_c 4.260
_cell_angle_alpha 90.00
_cell_angle_beta 90.00
_cell_angle_gamma 90.00
loop_
_atom_site_label
_atom_site_fract_x
_atom_site_fract_y
_atom_site_fract_z
_atom_site_occupancy
Ti1 0.000 0.500 0.000 1
Ti2 0.500 0.000 0.000 1
Cu1 0.000 0.000 0.000 1
Ge1 0.000 0.000 0.500 1
Cl1 0.500 0.500 0.500 1

=====

# Tl2CuGeCl5 (PBE, optimized geometry)
# Size of the total moment in μB/cell: 0.00
# Energy relative to the elements, uncorrected in meV/atom: -809
data_Tl2CuGeCl5
_chemical_formula_sum 'Tl4 Cu2 Ge2 Cl10'
_space_group_name_H-M_alt 'P 1'
_space_group_IT_number 1
_space_group_name_Hall 'P 1'
_cell_length_a 9.528
_cell_length_b 9.528
_cell_length_c 13.424
_cell_angle_alpha 90.00
_cell_angle_beta 90.00
_cell_angle_gamma 155.60
loop_
_atom_site_label
_atom_site_fract_x
_atom_site_fract_y
_atom_site_fract_z
_atom_site_occupancy
Tl1 0.100 0.900 0.500 1
Tl2 0.131 0.869 0.122 1
Tl3 0.869 0.131 0.622 1
Tl4 0.900 0.100 0.000 1
Cu1 0.450 0.550 0.268 1
Cu2 0.550 0.450 0.768 1
Ge1 0.207 0.793 0.831 1
Ge2 0.793 0.207 0.331 1
Cl1 0.045 0.955 0.852 1
Cl2 0.284 0.716 0.467 1
Cl3 0.311 0.689 0.196 1
Cl4 0.338 0.662 0.812 1
Cl5 0.500 0.500 0.112 1
Cl6 0.500 0.500 0.612 1
Cl7 0.662 0.338 0.312 1
Cl8 0.689 0.311 0.696 1
Cl9 0.716 0.284 0.967 1
Cl10 0.955 0.045 0.352 1

=====

# Tl2Cu2GeCl6 (PBE, optimized geometry)
# Size of the total moment in μB/cell: 0.00
# Energy relative to the elements, uncorrected in meV/atom: -725
data_Tl2Cu2GeCl6
_chemical_formula_sum 'Tl2 Cu2 Ge1 Cl6'
_space_group_name_H-M_alt 'P 1'
_space_group_IT_number 1
_space_group_name_Hall 'P 1'
_cell_length_a 7.384
_cell_length_b 7.384
_cell_length_c 7.528
_cell_angle_alpha 117.48
_cell_angle_beta 117.48
_cell_angle_gamma 59.81
loop_
_atom_site_label
_atom_site_fract_x
_atom_site_fract_y
_atom_site_fract_z
_atom_site_occupancy
Tl1 0.234 0.234 0.207 1
Tl2 0.766 0.766 0.793 1
Cu1 0.446 0.446 0.786 1
Cu2 0.554 0.554 0.214 1
Ge1 0.000 0.000 0.500 1
Cl1 0.199 0.703 0.203 1
Cl2 0.242 0.242 0.652 1
Cl3 0.297 0.801 0.797 1
Cl4 0.703 0.199 0.203 1
Cl5 0.758 0.758 0.348 1
Cl6 0.801 0.297 0.797 1

=====

# ZnCu2GeCl (PBE, optimized geometry)
# Size of the total moment in μB/cell: 0.00
# Energy relative to the elements, uncorrected in meV/atom: 578
data_ZnCu2GeCl
_chemical_formula_sum 'Zn1 Cu2 Ge1 Cl1'
_space_group_name_H-M_alt 'P 1'
_space_group_IT_number 1
_space_group_name_Hall 'P 1'
_cell_length_a 4.637
_cell_length_b 4.637
_cell_length_c 4.874
_cell_angle_alpha 90.00
_cell_angle_beta 90.00
_cell_angle_gamma 90.00
loop_
_atom_site_label
_atom_site_fract_x
_atom_site_fract_y
_atom_site_fract_z
_atom_site_occupancy
Zn1 0.000 0.000 0.000 1
Cu1 0.000 0.500 0.000 1
Cu2 0.500 0.000 0.000 1
Ge1 0.000 0.000 0.500 1
Cl1 0.500 0.500 0.500 1

=====

# CuH3Cl (PBE, optimized geometry)
# Size of the total moment in μB/cell: 0.00
# Energy relative to the lowest polymorph listed for this composition in eV/f.u.: 0.000
data_CuH3Cl
_chemical_formula_sum 'Cu1 H3 Cl1'
_space_group_name_H-M_alt 'P 1'
_space_group_IT_number 1
_space_group_name_Hall 'P 1'
_cell_length_a 3.553
_cell_length_b 3.553
_cell_length_c 3.553
_cell_angle_alpha 90.00
_cell_angle_beta 90.00
_cell_angle_gamma 90.00
loop_
_atom_site_label
_atom_site_fract_x
_atom_site_fract_y
_atom_site_fract_z
_atom_site_occupancy
Cu1 0.000 0.000 0.000 1
H1 0.000 0.000 0.500 1
H2 0.000 0.500 0.000 1
H3 0.500 0.000 0.000 1
Cl1 0.500 0.500 0.500 1

=====

# CuHCl3 (PBE, optimized geometry)
# Size of the total moment in μB/cell: 0.97
# Energy relative to the lowest polymorph listed for this composition in eV/f.u.: 4.941
data_CuHCl3
_chemical_formula_sum 'Cu1 H1 Cl3'
_space_group_name_H-M_alt 'P 1'
_space_group_IT_number 1
_space_group_name_Hall 'P 1'
_cell_length_a 4.388
_cell_length_b 4.388
_cell_length_c 4.388
_cell_angle_alpha 90.00
_cell_angle_beta 90.00
_cell_angle_gamma 90.00
loop_
_atom_site_label
_atom_site_fract_x
_atom_site_fract_y
_atom_site_fract_z
_atom_site_occupancy
Cu1 0.000 0.000 0.000 1
H1 0.500 0.500 0.500 1
Cl1 0.000 0.500 0.500 1
Cl2 0.500 0.000 0.500 1
Cl3 0.500 0.500 0.000 1

=====

# CuHCl3 (PBE, optimized geometry)
# Size of the total moment in μB/cell: 0.63
# Energy relative to the lowest polymorph listed for this composition in eV/f.u.: 3.521
data_CuHCl3
_chemical_formula_sum 'Cu1 H1 Cl3'
_space_group_name_H-M_alt 'P 1'
_space_group_IT_number 1
_space_group_name_Hall 'P 1'
_cell_length_a 4.702
_cell_length_b 4.702
_cell_length_c 4.702
_cell_angle_alpha 90.00
_cell_angle_beta 90.00
_cell_angle_gamma 90.00
loop_
_atom_site_label
_atom_site_fract_x
_atom_site_fract_y
_atom_site_fract_z
_atom_site_occupancy
Cu1 0.000 0.000 0.000 1
H1 0.500 0.500 0.500 1
Cl1 0.000 0.000 0.500 1
Cl2 0.000 0.500 0.000 1
Cl3 0.500 0.000 0.000 1

=====

# Cu2HCl6 (PBE, optimized geometry)
# Size of the total moment in μB/cell: 0.00
# Energy relative to the lowest polymorph listed for this composition in eV/f.u.: 0.000
data_Cu2HCl6
_chemical_formula_sum 'Cu4 H2 Cl12'
_space_group_name_H-M_alt 'P 1'
_space_group_IT_number 1
_space_group_name_Hall 'P 1'
_cell_length_a 6.082
_cell_length_b 6.775
_cell_length_c 11.187
_cell_angle_alpha 79.89
_cell_angle_beta 86.07
_cell_angle_gamma 87.38
loop_
_atom_site_label
_atom_site_fract_x
_atom_site_fract_y
_atom_site_fract_z
_atom_site_occupancy
Cu1 0.053 0.480 0.262 1
Cu2 0.403 0.783 0.759 1
Cu3 0.597 0.217 0.241 1
Cu4 0.947 0.520 0.738 1
H1 0.334 0.848 0.253 1
H2 0.666 0.152 0.747 1
Cl1 0.114 0.794 0.640 1
Cl2 0.151 0.783 0.170 1
Cl3 0.226 0.503 0.861 1
Cl4 0.311 0.430 0.392 1
Cl5 0.358 0.255 0.101 1
Cl6 0.496 0.092 0.668 1
Cl7 0.504 0.908 0.332 1
Cl8 0.642 0.745 0.899 1
Cl9 0.689 0.570 0.608 1
Cl10 0.774 0.497 0.139 1
Cl11 0.849 0.217 0.830 1
Cl12 0.886 0.206 0.360 1

=====

# CuHCl (PBE, optimized geometry)
# Size of the total moment in μB/cell: 0.00
# Energy relative to the lowest polymorph listed for this composition in eV/f.u.: 0.000
data_CuHCl
_chemical_formula_sum 'Cu2 H2 Cl2'
_space_group_name_H-M_alt 'P 1'
_space_group_IT_number 1
_space_group_name_Hall 'P 1'
_cell_length_a 3.961
_cell_length_b 5.424
_cell_length_c 6.210
_cell_angle_alpha 103.83
_cell_angle_beta 106.66
_cell_angle_gamma 109.62
loop_
_atom_site_label
_atom_site_fract_x
_atom_site_fract_y
_atom_site_fract_z
_atom_site_occupancy
Cu1 0.199 0.224 0.490 1
Cu2 0.801 0.776 0.510 1
H1 0.002 0.104 0.654 1
H2 0.998 0.896 0.346 1
Cl1 0.493 0.678 0.757 1
Cl2 0.507 0.322 0.243 1

=====

# CuH2Cl2 (PBE, optimized geometry)
# Size of the total moment in μB/cell: 1.71
# Energy relative to the lowest polymorph listed for this composition in eV/f.u.: 0.000
data_CuH2Cl2
_chemical_formula_sum 'Cu2 H4 Cl4'
_space_group_name_H-M_alt 'P 1'
_space_group_IT_number 1
_space_group_name_Hall 'P 1'
_cell_length_a 3.628
_cell_length_b 3.628
_cell_length_c 15.920
_cell_angle_alpha 91.30
_cell_angle_beta 91.30
_cell_angle_gamma 89.80
loop_
_atom_site_label
_atom_site_fract_x
_atom_site_fract_y
_atom_site_fract_z
_atom_site_occupancy
Cu1 0.058 0.942 0.750 1
Cu2 0.942 0.058 0.250 1
H1 0.086 0.477 0.012 1
H2 0.477 0.086 0.512 1
H3 0.523 0.914 0.488 1
H4 0.914 0.523 0.988 1
Cl1 0.048 0.434 0.666 1
Cl2 0.434 0.048 0.166 1
Cl3 0.566 0.952 0.834 1
Cl4 0.952 0.566 0.334 1

=====

# Cu2H3Cl6 (PBE, optimized geometry)
# Size of the total moment in μB/cell: 2.17
# Electronic total energy in eV/atom: -3.145
data_Cu2H3Cl6
_chemical_formula_sum 'Cu4 H6 Cl12'
_space_group_name_H-M_alt 'P 1'
_space_group_IT_number 1
_space_group_name_Hall 'P 1'
_cell_length_a 7.057
_cell_length_b 7.057
_cell_length_c 12.719
_cell_angle_alpha 97.43
_cell_angle_beta 97.43
_cell_angle_gamma 61.88
loop_
_atom_site_label
_atom_site_fract_x
_atom_site_fract_y
_atom_site_fract_z
_atom_site_occupancy
Cu1 0.107 0.622 0.544 1
Cu2 0.378 0.893 0.956 1
Cu3 0.622 0.107 0.044 1
Cu4 0.893 0.378 0.456 1
H1 0.012 0.293 0.773 1
H2 0.293 0.012 0.273 1
H3 0.332 0.668 0.750 1
H4 0.668 0.332 0.250 1
H5 0.707 0.988 0.727 1
H6 0.988 0.707 0.227 1
Cl1 0.010 0.727 0.130 1
Cl2 0.085 0.346 0.609 1
Cl3 0.273 0.990 0.370 1
Cl4 0.307 0.642 0.867 1
Cl5 0.346 0.085 0.109 1
Cl6 0.358 0.693 0.633 1
Cl7 0.642 0.307 0.367 1
Cl8 0.654 0.915 0.891 1
Cl9 0.693 0.358 0.133 1
Cl10 0.727 0.010 0.630 1
Cl11 0.915 0.654 0.391 1
Cl12 0.990 0.273 0.870 1

=====

# CuH2Cl2 (PBE, optimized geometry)
# Size of the total moment in μB/cell: 0.86
# Energy relative to the lowest polymorph listed for this composition in eV/f.u.: 2.481
data_CuH2Cl2
_chemical_formula_sum 'Cu2 H4 Cl4'
_space_group_name_H-M_alt 'P 1'
_space_group_IT_number 1
_space_group_name_Hall 'P 1'
_cell_length_a 6.839
_cell_length_b 4.179
_cell_length_c 6.833
_cell_angle_alpha 90.00
_cell_angle_beta 90.00
_cell_angle_gamma 90.00
loop_
_atom_site_label
_atom_site_fract_x
_atom_site_fract_y
_atom_site_fract_z
_atom_site_occupancy
Cu1 0.000 0.000 0.000 1
Cu2 0.500 0.000 0.500 1
H1 0.233 0.000 0.000 1
H2 0.267 0.000 0.500 1
H3 0.733 0.000 0.500 1
H4 0.767 0.000 0.000 1
Cl1 0.000 0.146 0.292 1
Cl2 0.000 0.854 0.708 1
Cl3 0.500 0.146 0.208 1
Cl4 0.500 0.854 0.792 1

=====

# CuH2Cl4 (PBE, optimized geometry)
# Size of the total moment in μB/cell: 0.25
# Energy relative to the lowest polymorph listed for this composition in eV/f.u.: 0.235
data_CuH2Cl4
_chemical_formula_sum 'Cu1 H2 Cl4'
_space_group_name_H-M_alt 'P 1'
_space_group_IT_number 1
_space_group_name_Hall 'P 1'
_cell_length_a 9.862
_cell_length_b 9.862
_cell_length_c 9.862
_cell_angle_alpha 153.37
_cell_angle_beta 153.37
_cell_angle_gamma 38.01
loop_
_atom_site_label
_atom_site_fract_x
_atom_site_fract_y
_atom_site_fract_z
_atom_site_occupancy
Cu1 0.000 0.000 0.000 1
H1 0.384 0.384 0.000 1
H2 0.616 0.616 0.000 1
Cl1 0.000 0.500 0.500 1
Cl2 0.315 0.315 0.000 1
Cl3 0.500 0.000 0.500 1
Cl4 0.685 0.685 0.000 1

=====

# Cu2HCl6 (PBE, optimized geometry)
# Size of the total moment in μB/cell: 2.14
# Energy relative to the lowest polymorph listed for this composition in eV/f.u.: 0.443
data_Cu2HCl6
_chemical_formula_sum 'Cu4 H2 Cl12'
_space_group_name_H-M_alt 'P 1'
_space_group_IT_number 1
_space_group_name_Hall 'P 1'
_cell_length_a 8.904
_cell_length_b 8.904
_cell_length_c 6.542
_cell_angle_alpha 90.14
_cell_angle_beta 90.14
_cell_angle_gamma 101.65
loop_
_atom_site_label
_atom_site_fract_x
_atom_site_fract_y
_atom_site_fract_z
_atom_site_occupancy
Cu1 0.147 0.278 0.211 1
Cu2 0.278 0.147 0.711 1
Cu3 0.722 0.853 0.289 1
Cu4 0.853 0.722 0.789 1
H1 0.189 0.811 0.750 1
H2 0.811 0.189 0.250 1
Cl1 0.069 0.688 0.633 1
Cl2 0.120 0.273 0.874 1
Cl3 0.273 0.120 0.374 1
Cl4 0.312 0.931 0.867 1
Cl5 0.320 0.519 0.160 1
Cl6 0.481 0.680 0.340 1
Cl7 0.519 0.320 0.660 1
Cl8 0.680 0.481 0.840 1
Cl9 0.688 0.069 0.133 1
Cl10 0.727 0.880 0.626 1
Cl11 0.880 0.727 0.126 1
Cl12 0.931 0.312 0.367 1

=====

# CuHCl4 (PBE, optimized geometry)
# Size of the total moment in μB/cell: 0.00
# Energy relative to the lowest polymorph listed for this composition in eV/f.u.: 0.000
data_CuHCl4
_chemical_formula_sum 'Cu2 H2 Cl8'
_space_group_name_H-M_alt 'P 1'
_space_group_IT_number 1
_space_group_name_Hall 'P 1'
_cell_length_a 6.016
_cell_length_b 4.932
_cell_length_c 11.863
_cell_angle_alpha 90.00
_cell_angle_beta 119.28
_cell_angle_gamma 90.00
loop_
_atom_site_label
_atom_site_fract_x
_atom_site_fract_y
_atom_site_fract_z
_atom_site_occupancy
Cu1 0.000 0.000 0.000 1
Cu2 0.000 0.500 0.500 1
H1 0.500 0.000 0.000 1
H2 0.500 0.500 0.500 1
Cl1 0.030 0.250 0.357 1
Cl2 0.030 0.250 0.857 1
Cl3 0.402 0.628 0.588 1
Cl4 0.402 0.872 0.088 1
Cl5 0.598 0.128 0.912 1
Cl6 0.598 0.372 0.412 1
Cl7 0.970 0.750 0.143 1
Cl8 0.970 0.750 0.643 1